a | ## Ta2Br (PBE-GGA)

Data for a relaxed structure of Ta2Br.

a = 5.061 Å, b = 5.061 Å, c = 5.061 Å
α = 145.69°, β = 127.52°, γ = 64.21°
Sites, in units of the cell vectors:
Ta 0.328 0.328 0.000
Ta 0.672 0.672 0.000
Br 0.000 0.000 0.000

Calculated values
calculated volume: 19.1 Å³/atom

---

b | ## Ta2Br (PBE-GGA)

Data for a relaxed structure of Ta2Br.

a = 4.306 Å, b = 4.676 Å, c = 6.137 Å
α = 90.00°, β = 90.00°, γ = 90.00°
Sites, in units of the cell vectors:
Br 0.000 0.000 0.000
Ta 0.500 0.735 0.870
Br 0.500 0.500 0.500
Ta 0.000 0.235 0.630
Ta 0.000 0.765 0.370
Ta 0.500 0.265 0.130

Calculated values
calculated volume: 20.6 Å³/atom

---

Which of them is most stable? Easy: a.